Entry 1:
NaFe5O8 after structural relaxation. Source: Alexandria via LeMat-Bulk, functional PBEsol.

Properties
The space-group type is P4_332, No. 212. The calculation puts the polymorph energy (0 for the lowest one) at 0.0 kJ/mol of atoms.

Geometry as POSCAR:
```
NaFe5O8
1.0
8.155 0.000 0.000
0.000 8.155 0.000
0.000 0.000 8.155
Na O Fe
4 32 20
Cartesian
5.097 5.097 5.097 Na
7.135 3.058 1.019 Na
1.019 7.135 3.058 Na
3.058 1.019 7.135 Na
1.153 4.940 2.785 O
3.069 3.069 3.069 O
3.331 6.979 7.269 O
6.862 2.925 3.214 O
0.863 1.293 7.002 O
7.146 1.009 5.086 O
7.002 0.863 1.293 O
4.824 2.902 4.963 O
0.886 7.409 5.253 O
3.214 6.862 2.925 O
4.963 4.824 2.902 O
7.269 3.331 6.979 O
6.979 7.269 3.331 O
5.086 7.146 1.009 O
1.293 7.002 0.863 O
1.030 3.047 5.107 O
7.125 7.125 7.125 O
5.370 5.230 7.292 O
1.009 5.086 7.146 O
0.746 1.176 3.192 O
1.176 3.192 0.746 O
3.192 0.746 1.176 O
5.230 7.292 5.370 O
2.925 3.214 6.862 O
7.409 5.253 0.886 O
2.902 4.963 4.824 O
2.785 1.153 4.940 O
4.940 2.785 1.153 O
5.107 1.030 3.047 O
5.253 0.886 7.409 O
7.292 5.370 5.230 O
3.047 5.107 1.030 O
7.135 7.238 5.199 Fe
6.184 6.048 2.106 Fe
3.160 7.033 1.019 Fe
1.019 3.160 7.033 Fe
2.956 3.058 4.995 Fe
3.058 4.995 2.956 Fe
5.097 0.917 1.122 Fe
2.106 6.184 6.048 Fe
0.917 1.122 5.097 Fe
4.145 4.010 8.087 Fe
7.238 5.199 7.135 Fe
6.048 2.106 6.184 Fe
7.033 1.019 3.160 Fe
5.199 7.135 7.238 Fe
4.995 2.956 3.058 Fe
8.087 4.145 4.010 Fe
1.971 1.971 1.971 Fe
4.010 8.087 4.145 Fe
0.068 0.068 0.068 Fe
1.122 5.097 0.917 Fe
```

Entry 2:
Na2FeO3 after structural relaxation. Source: Alexandria via LeMat-Bulk, functional PBEsol.

Properties
The space-group type is Fddd, No. 70. The calculation puts the polymorph energy (0 for the lowest one) at 4.1 kJ/mol of atoms.

Geometry as POSCAR:
```
Na2FeO3
1.0
-2.113 -3.429 3.953
0.017 -2.421 -5.098
9.063 -0.246 2.105
O Na Fe
12 8 4
Cartesian
1.119 -3.064 -2.523 O
-1.696 -4.734 -0.926 O
6.005 -2.595 3.569 O
4.961 -3.877 0.707 O
6.153 -0.520 1.419 O
0.801 -5.582 -0.404 O
2.019 -2.213 0.200 O
-0.116 -4.012 1.971 O
4.416 -1.680 -1.564 O
6.926 -2.523 -1.096 O
-0.400 -1.117 -0.218 O
3.616 -3.913 -2.001 O
2.827 -4.459 0.169 Na
4.140 -1.638 0.792 Na
1.700 -2.805 2.504 Na
0.203 -3.420 -0.333 Na
4.202 -3.795 2.982 Na
6.764 -2.677 1.294 Na
-0.924 -1.767 2.002 Na
6.826 -4.834 3.484 Na
5.383 -3.337 -1.521 Fe
1.367 -0.541 0.261 Fe
5.601 -5.556 0.699 Fe
2.649 -2.256 -2.044 Fe
```

Entry 3:
Na2FeO3 after structural relaxation. Source: Alexandria via LeMat-Bulk, functional PBEsol.

Properties
The space-group type is Cmc2_1, No. 36. The calculation puts the polymorph energy (0 for the lowest one) at 7.2 kJ/mol of atoms.

Geometry as POSCAR:
```
Na2FeO3
1.0
-1.175 4.318 2.438
-2.159 -3.244 4.705
5.973 1.668 -0.075
Fe O Na
2 6 4
Cartesian
-1.510 3.522 3.174 Fe
-2.299 -0.705 4.953 Fe
-0.720 -0.040 5.108 O
-0.905 2.439 1.894 O
0.684 -0.973 2.110 O
-2.135 -2.451 4.636 O
3.933 0.670 0.767 O
2.529 1.602 3.765 O
3.159 2.694 1.839 Na
-1.055 2.013 6.339 Na
1.772 3.652 4.800 Na
0.332 1.055 3.378 Na
```

Entry 4:
NaFeO3 after structural relaxation. Source: Alexandria via LeMat-Bulk, functional PBEsol.

Properties
The space-group type is R-3, No. 148.

Geometry as POSCAR:
```
NaFeO3
1.0
4.915 0.000 0.000
2.457 4.256 0.000
2.457 1.419 5.222
O Na Fe
6 2 2
Cartesian
3.982 1.179 3.648 O
5.885 1.200 1.574 O
3.945 4.475 3.648 O
6.818 2.859 3.648 O
3.012 2.816 1.574 O
5.848 4.497 1.574 O
4.915 2.838 0.365 Na
4.915 2.838 4.857 Na
2.457 1.419 2.701 Fe
7.372 4.256 2.521 Fe
```

Entry 5:
NaFe5O8 after structural relaxation. Source: Alexandria via LeMat-Bulk, functional PBEsol.

Properties
The space-group type is R-3m, No. 166. The calculation puts the polymorph energy (0 for the lowest one) at 3.7 kJ/mol of atoms.

Geometry as POSCAR:
```
NaFe5O8
1.0
5.639 0.000 0.000
2.819 4.883 0.000
2.819 1.628 4.941
O Fe Na
8 5 1
Cartesian
7.003 2.468 3.932 O
5.639 4.830 3.932 O
5.639 1.681 1.009 O
7.003 4.043 1.009 O
4.275 4.043 1.009 O
2.819 1.628 1.101 O
8.458 4.883 3.841 O
4.275 2.468 3.932 O
8.458 4.883 1.803 Fe
2.819 1.628 3.139 Fe
4.229 2.442 0.000 Fe
1.410 2.442 0.000 Fe
2.819 0.000 0.000 Fe
5.639 3.256 2.471 Na
```

Entry 6:
Na9Fe2O7 after structural relaxation. Source: Alexandria via LeMat-Bulk, functional PBEsol.

Properties
The space-group type is Pca2_1, No. 29.

Geometry as POSCAR:
```
Na9Fe2O7
1.0
9.469 0.000 0.000
0.000 9.885 0.000
0.000 0.000 10.250
Na O Fe
36 28 8
Cartesian
0.146 6.498 2.430 Na
7.467 7.158 0.582 Na
1.446 0.561 8.454 Na
4.864 7.506 10.120 Na
8.023 9.324 3.329 Na
0.706 5.403 9.921 Na
5.441 4.482 9.921 Na
3.289 0.561 3.329 Na
6.847 2.141 9.104 Na
8.762 4.482 4.796 Na
6.228 3.878 6.488 Na
8.792 8.233 7.721 Na
5.411 8.233 2.597 Na
9.339 7.506 4.995 Na
8.632 9.729 0.258 Na
4.605 2.378 4.995 Na
2.002 2.726 5.707 Na
4.028 5.403 4.796 Na
6.180 9.324 8.454 Na
4.057 1.651 7.721 Na
1.494 6.007 6.488 Na
7.356 2.141 3.979 Na
3.898 0.156 0.258 Na
9.322 3.386 7.555 Na
4.588 6.498 7.555 Na
3.240 6.007 1.363 Na
2.113 7.744 9.104 Na
4.881 3.386 2.430 Na
7.975 3.878 1.363 Na
6.736 7.158 5.707 Na
2.621 7.744 3.979 Na
0.677 1.651 2.597 Na
0.836 0.156 5.383 Na
5.571 9.729 5.383 Na
0.130 2.378 10.120 Na
2.732 2.726 0.582 Na
8.584 0.737 8.397 O
3.893 4.153 6.669 O
5.144 2.199 0.480 O
0.842 4.153 1.544 O
1.878 2.819 8.525 O
6.189 1.626 6.846 O
4.324 7.685 5.605 O
8.627 5.732 6.669 O
6.326 9.229 0.629 O
1.487 5.733 4.196 O
6.222 4.152 4.196 O
7.981 4.152 9.321 O
8.014 1.626 1.721 O
3.143 0.655 5.754 O
5.576 5.732 1.544 O
2.857 2.819 3.400 O
7.877 9.229 5.754 O
0.410 7.685 0.480 O
5.619 0.737 3.272 O
3.247 5.733 9.321 O
1.592 0.655 0.629 O
7.591 7.066 3.400 O
3.280 8.258 1.721 O
0.885 9.147 3.272 O
3.849 9.147 8.397 O
9.059 2.199 5.605 O
1.454 8.258 6.846 O
6.612 7.066 8.525 O
7.675 5.618 8.248 Fe
2.941 4.266 8.248 Fe
1.793 4.266 3.123 Fe
7.956 1.007 6.632 Fe
6.247 1.007 1.507 Fe
3.221 8.877 6.632 Fe
6.528 5.618 3.123 Fe
1.513 8.877 1.507 Fe
```

Entry 7:
Na2FeO3 after structural relaxation. Source: Alexandria via LeMat-Bulk, functional PBEsol.

Properties
The space-group type is C2/m, No. 12. The calculation puts the polymorph energy (0 for the lowest one) at 0.0 kJ/mol of atoms.

Geometry as POSCAR:
```
Na2FeO3
1.0
-0.077 2.751 4.354
-4.496 1.604 1.954
-0.394 -3.491 4.307
O Fe Na
6 2 4
Cartesian
-0.370 -0.912 6.458 O
-2.032 -2.017 4.503 O
-1.829 1.450 3.988 O
-2.935 2.880 6.111 O
-0.101 0.172 2.203 O
-3.138 -0.586 6.627 O
-3.044 2.903 4.206 Fe
-1.529 1.452 2.102 Fe
0.000 0.000 0.000 Na
-3.290 -0.214 4.178 Na
-1.678 1.077 6.437 Na
-0.236 -0.370 4.330 Na
```

Entry 8:
Na14Fe2O9 after structural relaxation. Source: Alexandria via LeMat-Bulk, functional PBEsol.

Properties
The space-group type is P-3, No. 147.

Geometry as POSCAR:
```
Na14Fe2O9
1.0
-1.467 -6.456 0.531
0.446 -3.955 -5.318
8.855 -1.842 2.110
Na O Fe
14 9 2
Cartesian
1.038 -2.950 -3.178 Na
2.219 -0.462 0.528 Na
6.797 -9.303 0.500 Na
0.022 -5.561 -1.182 Na
0.357 -2.407 0.152 Na
4.410 -7.078 -0.413 Na
2.727 -5.034 0.785 Na
3.625 -2.450 -0.737 Na
3.424 -5.175 -2.264 Na
4.209 -9.803 -1.941 Na
7.813 -6.693 -1.496 Na
5.616 -11.791 -3.206 Na
7.478 -9.846 -2.830 Na
5.107 -7.219 -3.463 Na
0.000 0.000 0.000 O
4.987 -5.567 1.351 O
8.032 -5.212 0.399 O
2.116 -6.614 -0.892 O
2.848 -6.686 -4.029 O
5.718 -5.639 -1.785 O
1.930 -9.383 -2.527 O
-0.198 -7.041 -3.077 O
5.904 -2.870 -0.151 O
6.160 -4.822 -0.046 Fe
1.674 -7.432 -2.631 Fe
```

Entry 9:
Na2FeO3 after structural relaxation. Source: Alexandria via LeMat-Bulk, functional PBEsol.

Properties
The space-group type is C2/c, No. 15. The calculation puts the polymorph energy (0 for the lowest one) at 0.0 kJ/mol of atoms.

Geometry as POSCAR:
```
Na2FeO3
1.0
-2.001 2.045 4.288
-0.251 -5.088 -0.785
10.022 -0.159 3.680
Fe Na O
4 8 12
Cartesian
-1.567 0.278 3.032 Fe
4.326 -3.401 2.311 Fe
-0.985 -2.095 1.344 Fe
3.744 -1.028 3.999 Fe
5.390 -0.619 6.655 Na
6.847 -0.276 3.987 Na
1.505 0.983 3.064 Na
-0.402 -4.472 -0.346 Na
3.161 1.349 5.689 Na
5.933 -3.007 5.036 Na
2.112 -1.321 1.347 Na
0.647 -1.803 3.995 Na
2.866 -2.464 3.097 O
3.913 -1.928 5.682 O
0.593 -2.655 0.427 O
2.165 -0.468 4.915 O
3.495 0.199 2.548 O
7.958 -3.736 4.488 O
-0.736 -3.322 2.794 O
8.867 -1.355 3.340 O
7.574 -1.312 5.813 O
5.206 -1.970 3.209 O
4.822 0.454 4.535 O
-0.107 -0.659 2.246 O
```

Entry 10:
NaFe3P3O13 after structural relaxation. Source: Alexandria via LeMat-Bulk, functional PBEsol.

Properties
The space-group type is P2_1/m, No. 11.

Geometry as POSCAR:
```
NaFe3P3O13
1.0
-1.289 -3.932 -4.628
-3.395 -4.562 4.821
-8.031 5.770 -2.665
O Fe P Na
26 6 6 2
Cartesian
-9.791 2.272 -1.285 O
-7.490 1.721 -1.458 O
-4.095 0.231 -1.137 O
-4.619 -6.895 -0.801 O
-4.093 -5.290 1.089 O
-5.988 -1.202 2.230 O
-2.077 -2.984 -3.132 O
-4.318 -0.707 -4.442 O
-8.398 -2.016 1.970 O
-3.504 -2.246 -0.820 O
-5.267 -2.336 -2.794 O
-3.001 -0.714 0.983 O
-5.226 -4.445 -1.014 O
-6.728 -1.521 -4.702 O
-9.212 -0.478 -1.651 O
-11.014 -2.201 -1.308 O
-8.621 -2.954 -1.335 O
-6.490 -2.735 0.426 O
-9.715 -2.009 -3.454 O
-7.449 -0.388 0.323 O
-8.097 4.172 -1.671 O
-10.639 0.260 0.661 O
-6.226 0.011 -2.898 O
-1.702 -0.523 -1.164 O
-2.925 -4.996 -1.187 O
-8.623 2.567 -3.560 O
-0.645 -1.966 -2.314 Fe
-8.973 0.712 -0.187 Fe
0.000 0.000 0.000 Fe
-5.589 1.272 -1.606 Fe
-3.743 -3.436 -2.284 Fe
-7.127 -3.996 -0.866 Fe
-7.117 -1.566 1.232 P
-4.185 -5.455 -0.446 P
-3.107 -0.783 -0.551 P
-9.609 -1.941 -1.920 P
-8.531 2.731 -2.026 P
-5.599 -1.157 -3.703 P
-4.158 -2.905 1.544 Na
-8.558 0.182 -4.016 Na
```

Entry 11:
NaFePO4 after structural relaxation. Source: Alexandria via LeMat-Bulk, functional PBEsol.

Properties
The space-group type is Pnma, No. 62. The calculation puts the polymorph energy (0 for the lowest one) at 1.6 kJ/mol of atoms.

Geometry as POSCAR:
```
NaFePO4
1.0
5.094 0.000 0.000
0.000 6.194 0.000
0.000 0.000 10.257
Na O Fe P
4 16 4 4
Cartesian
0.000 0.000 5.129 Na
0.000 3.097 5.129 Na
2.547 0.000 0.000 Na
2.547 3.097 0.000 Na
1.085 1.549 3.363 O
4.546 1.549 6.845 O
1.910 5.915 6.341 O
3.632 4.646 1.765 O
4.457 2.818 9.045 O
1.999 4.646 8.540 O
0.636 5.915 1.213 O
4.457 0.279 9.045 O
1.462 1.549 8.492 O
1.910 3.376 6.341 O
0.547 4.646 3.412 O
3.094 1.549 1.717 O
0.636 3.376 1.213 O
3.183 2.818 3.916 O
4.009 4.646 6.894 O
3.183 0.279 3.916 O
2.568 4.646 3.438 Fe
5.073 4.646 8.566 Fe
0.021 1.549 1.691 Fe
2.526 1.549 6.819 Fe
5.009 1.549 8.348 P
0.084 4.646 1.909 P
2.462 4.646 7.037 P
2.631 1.549 3.220 P
```

Entry 12:
NaFePO4 after structural relaxation. Source: Alexandria via LeMat-Bulk, functional PBEsol.

Properties
The space-group type is Cmcm, No. 63. The calculation puts the polymorph energy (0 for the lowest one) at 0.0 kJ/mol of atoms.

Geometry as POSCAR:
```
NaFePO4
1.0
-3.877 -1.909 -2.495
4.276 0.123 -2.570
1.559 -6.168 2.298
Na P Fe O
2 2 2 8
Cartesian
2.871 -5.145 -0.823 Na
-0.915 -2.810 -1.944 Na
1.929 -2.101 -1.970 P
0.027 -5.854 -0.796 P
0.000 0.000 0.000 Fe
0.779 -3.084 1.149 Fe
0.956 -1.898 -0.764 O
1.144 -2.743 -3.160 O
-1.134 -4.934 -1.212 O
1.001 -6.057 -2.003 O
0.813 -5.212 0.394 O
-0.559 -7.209 -0.365 O
2.516 -0.746 -2.402 O
3.091 -3.021 -1.555 O
```

Entry 13:
NaFeSe2O8 after structural relaxation. Source: Alexandria via LeMat-Bulk, functional PBEsol.

Properties
The space-group type is C2/m, No. 12.

Geometry as POSCAR:
```
NaFeSe2O8
1.0
-4.660 1.397 0.998
-2.154 -2.767 3.516
2.271 4.469 5.129
O Se Fe Na
8 2 1 1
Cartesian
-3.931 0.926 5.440 O
0.588 3.974 5.984 O
-3.693 1.241 2.768 O
-0.612 2.174 4.202 O
-5.131 -0.875 3.658 O
-2.447 -0.830 4.021 O
-0.850 1.858 6.875 O
-2.096 3.929 5.622 O
-0.703 2.974 5.615 Se
-3.840 0.126 4.028 Se
0.000 0.000 0.000 Fe
1.135 2.235 2.564 Na
```

How do the records compare in ΔE_f (raw)? In the order shown, they have -1.26, -1.41, -1.38, -1.31, -1.23, -1.31, -1.45, -1.18, -1.45, -1.79, -1.83, -1.85, -0.92 eV/atom.
How do the records compare in spin magnetization? In the order shown, they have 52.08, 16.06, 6.29, 5.98, 13.08, 36.00, 4.00, 8.81, 8.00, 26.15, 16.00, 8.00, 5.00 Bohr magnetons per cell.